Entry 1:
Density functional theory data (GGA-PBE) for Sm2Ho3Zn2 after structural relaxation.

Results
E above lowest polymorph = 0.0 meV per atom
DFT total energy = -3.80 eV per atom
E_form = -0.128 eV per atom

Lattice parameters (Å, degrees): 3.609 30.260 3.539 90.00 90.00 90.00
Space group Cmmm (No. 65)
Unique sites:
Sm (0.000, 0.199, 0.000)
Ho (0.000, 0.082, 0.000)
Ho (0.000, 0.500, 0.500)
Zn (0.000, 0.362, 0.500)

Entry 2:
Density functional theory data (GGA-PBE) for SmHo2Zn5 after structural relaxation.

Results
DFT total energy = -2.84 eV per atom
E_form = -0.312 eV per atom

Lattice parameters (Å, degrees): 4.850 4.850 14.101 90.00 90.00 90.00
Space group I4/mmm (No. 139)
Unique sites:
Sm (0.000, 0.000, 0.000)
Ho (0.000, 0.000, 0.268)
Zn (0.000, 0.000, 0.500)
Zn (0.000, 0.500, 0.118)

Entry 3:
Density functional theory data (GGA-PBE) for Sm4Ho3Zn after structural relaxation.

Results
DFT total energy = -4.30 eV per atom
E_form = -0.064 eV per atom

Lattice parameters (Å, degrees): 3.605 3.605 18.711 90.00 90.00 90.00
Space group P4/mmm (No. 123)
Unique sites:
Sm (0.000, 0.000, 0.097)
Sm (0.000, 0.000, 0.366)
Ho (0.500, 0.500, 0.234)
Ho (0.500, 0.500, 0.500)
Zn (0.500, 0.500, 0.000)

Entry 4:
Density functional theory data (GGA-PBE) for Sm6HoZn2 after structural relaxation.

Results
DFT total energy = -4.08 eV per atom
E_form = -0.137 eV per atom

Lattice parameters (Å, degrees): 12.660 3.682 11.950 90.00 109.61 90.00
Space group C2/m (No. 12)
Unique sites:
Sm (0.027, 0.000, 0.327)
Sm (0.188, 0.500, 0.591)
Sm (0.189, 0.500, 0.876)
Ho (0.000, 0.000, 0.000)
Zn (0.144, 0.500, 0.196)

Entry 5:
Density functional theory data (GGA-PBE) for Sm2Ho3Zn3 after structural relaxation.

Results
DFT total energy = -3.61 eV per atom
E_form = -0.237 eV per atom

Lattice parameters (Å, degrees): 3.629 5.142 21.616 90.00 90.00 90.00
Space group Immm (No. 71)
Unique sites:
Sm (0.000, 0.000, 0.228)
Ho (0.000, 0.000, 0.000)
Ho (0.000, 0.500, 0.116)
Zn (0.000, 0.000, 0.500)
Zn (0.000, 0.500, 0.388)

Entry 6:
Density functional theory data (GGA-PBE) for Sm4Ho3Zn4 after structural relaxation.

Results
DFT total energy = -3.52 eV per atom
E_form = -0.096 eV per atom

Lattice parameters (Å, degrees): 5.102 6.895 16.602 90.00 90.00 90.00
Space group Immm (No. 71)
Unique sites:
Sm (0.000, 0.232, 0.178)
Ho (0.000, 0.000, 0.402)
Ho (0.000, 0.500, 0.500)
Zn (0.000, 0.314, 0.000)
Zn (0.000, 0.500, 0.325)